# PBE La6GeRu2Br3, relaxed
data_La6GeRu2Br3
_cell_length_a 7.402
_cell_length_b 7.402
_cell_length_c 8.172
_cell_angle_alpha 98.87
_cell_angle_beta 98.87
_cell_angle_gamma 119.99
_space_group_name_H-M_alt 'P 1'
_space_group_IT_number 1
_space_group_name_Hall 'P 1'
loop_
_atom_site_label
_atom_site_fract_x
_atom_site_fract_y
_atom_site_fract_z
La1 0.713 0.713 0.200
La2 0.938 0.583 0.800
La3 0.417 0.062 0.200
La4 0.583 0.938 0.800
La5 0.062 0.417 0.200
La6 0.287 0.287 0.800
Ge1 0.000 0.000 0.000
Br1 0.163 0.837 0.500
Br2 0.500 0.500 0.500
Br3 0.837 0.163 0.500
Ru1 0.333 0.667 0.000
Ru2 0.667 0.333 0.000
# M_tot ... 0.0 Bohr magnetons per cell
# Formation energy (no corrections) ... -1.0115 eV/atom